# FeTe2P

A relaxed FeTe2P crystal (PBE, Alexandria via LeMat-Bulk).

Computed properties:
Raw formation energy ... 0.41 eV/atom
Uncorrected energy ... -4.627 eV/atom
N(E_F) ... 5.6 states/eV/f.u.
Total magnetic moment ... 2.929 μB per formula unit

Lattice parameters (Å, degrees): 5.525 5.525 5.853 90.00 90.00 90.00
Space group I4/mmm (No. 139)
Asymmetric unit:
Fe 0.000 0.000 0.000 x2
Te 0.000 0.500 0.000 x4
P 0.000 0.000 0.500 x2